[1]
PrBRu, optimized geometry, DFT GGA-PBE; E = -7.204 eV per atom; Fermi-level density of states = 1.7 states/eV/cell
1.0
-1.009 3.849 -2.198
-2.064 1.083 2.845
3.572 0.869 -0.117
Pr B Ru
1 1 1
direct
0.667 0.667 0.333 Pr
0.167 0.000 0.000 B
0.167 0.333 0.667 Ru

[2]
PrB4Ru4, optimized geometry, DFT GGA-PBE; E = -8.019 eV per atom; Fermi-level density of states = 15.8 states/eV/cell
1.0
-3.233 -4.281 0.723
3.337 -3.027 -3.000
3.819 -1.852 6.115
B Ru Pr
8 8 2
direct
0.000 0.672 0.651 B
0.000 0.328 0.651 B
0.500 0.828 0.849 B
0.500 0.172 0.849 B
0.328 0.000 0.349 B
0.172 0.500 0.151 B
0.828 0.500 0.151 B
0.672 0.000 0.349 B
0.244 0.000 0.637 Ru
0.000 0.244 0.363 Ru
0.000 0.756 0.363 Ru
0.500 0.256 0.137 Ru
0.256 0.500 0.863 Ru
0.756 0.000 0.637 Ru
0.744 0.500 0.863 Ru
0.500 0.744 0.137 Ru
0.500 0.500 0.500 Pr
0.000 0.000 0.000 Pr

[3]
PrBRu, optimized geometry, DFT GGA-PBE; E = -7.191 eV per atom; Fermi-level density of states = 3.7 states/eV/cell
1.0
-3.993 -0.356 -0.492
0.099 -3.609 1.811
0.920 5.032 5.476
B Pr Ru
2 2 2
direct
0.069 0.069 0.137 B
0.931 0.931 0.863 B
0.349 0.349 0.698 Pr
0.651 0.651 0.302 Pr
0.000 0.500 0.000 Ru
0.500 0.000 0.000 Ru

Number 1: energy of formation -0.293 eV per atom. Number 2: energy of formation -0.397 eV per atom. Number 3: energy of formation -0.280 eV per atom.